<P>
## CaSmCu4 (GGA-PBE)

Data for an optimized crystal structure of CaSmCu4.

The structure in POSCAR format:
```
CaSmCu4
1.0
0.0000 3.7589 3.7589
3.7589 0.0000 3.7589
3.7589 3.7589 0.0000
Ca Sm Cu
1 1 4
direct
0.0000 0.0000 0.0000 Ca
0.7500 0.7500 0.7500 Sm
0.3739 0.3739 0.3739 Cu
0.3739 0.3739 0.8782 Cu
0.3739 0.8782 0.3739 Cu
0.8782 0.3739 0.3739 Cu
```

Computed properties:
Magnetic moment   0.00 μB per atom

=====

<Q>
## CaSmCu4 (GGA-PBE)

Data for an optimized crystal structure of CaSmCu4.

The structure in POSCAR format:
```
CaSmCu4
1.0
4.2101 0.0000 0.0000
0.0000 7.3989 0.0000
0.0000 0.0000 7.5449
Ca Sm Cu
2 2 8
direct
0.0000 0.0000 0.0000 Ca
0.5000 0.5000 0.5000 Ca
0.0000 0.0000 0.5000 Sm
0.5000 0.5000 0.0000 Sm
0.0000 0.3341 0.2430 Cu
0.0000 0.3341 0.7570 Cu
0.0000 0.6659 0.2430 Cu
0.0000 0.6659 0.7570 Cu
0.5000 0.1659 0.2570 Cu
0.5000 0.1659 0.7430 Cu
0.5000 0.8341 0.2570 Cu
0.5000 0.8341 0.7430 Cu
```

Computed properties:
Magnetic moment   0.00 μB per atom

=====

Stability, lowest: <P>

=====

<P>
## Ca3Cu2Sn3 (GGA-PBE)

Data for an optimized crystal structure of Ca3Cu2Sn3.

The structure in POSCAR format:
```
Ca3Cu2Sn3
1.0
2.2897 -5.5572 0.0000
2.2897 5.5572 0.0000
0.0000 0.0000 15.4483
Ca Cu Sn
6 4 6
direct
0.0848 0.9152 0.6110 Ca
0.0848 0.9152 0.8890 Ca
0.3644 0.6356 0.7500 Ca
0.6356 0.3644 0.2500 Ca
0.9152 0.0848 0.1110 Ca
0.9152 0.0848 0.3890 Ca
0.2099 0.7901 0.1018 Cu
0.2099 0.7901 0.3982 Cu
0.7901 0.2099 0.6018 Cu
0.7901 0.2099 0.8982 Cu
0.3397 0.6603 0.2500 Sn
0.3743 0.6257 0.5380 Sn
0.3743 0.6257 0.9620 Sn
0.6257 0.3743 0.0380 Sn
0.6257 0.3743 0.4620 Sn
0.6603 0.3397 0.7500 Sn
```

Computed properties:
Magnetic moment   0.00 μB per atom

=====

<Q>
## Ca3Cu2Sn3 (GGA-PBE)

Data for an optimized crystal structure of Ca3Cu2Sn3.

The structure in POSCAR format:
```
Ca3Cu2Sn3
1.0
4.4751 0.0000 0.0000
-0.0113 5.2701 0.0000
-2.2296 -1.5660 8.3696
Ca Cu Sn
3 2 3
direct
0.0000 0.0000 0.0000 Ca
0.1537 0.5851 0.3064 Ca
0.8463 0.4149 0.6936 Ca
0.2269 0.1124 0.4539 Cu
0.7731 0.8876 0.5461 Cu
0.3588 0.9004 0.7170 Sn
0.5000 0.5000 0.0000 Sn
0.6412 0.0996 0.2830 Sn
```

Computed properties:
Magnetic moment   0.00 μB per atom

=====

Stability, lowest: <Q>

=====

<P>
## SrCaCu (GGA-PBE)

Data for an optimized crystal structure of SrCaCu.

The structure in POSCAR format:
```
SrCaCu
1.0
3.7443 0.0000 0.0000
0.0000 3.7443 0.0000
0.0000 0.0000 13.6114
Sr Ca Cu
2 2 2
direct
0.0000 0.0000 0.0000 Sr
0.5000 0.5000 0.5000 Sr
0.0000 0.0000 0.2610 Ca
0.5000 0.5000 0.7610 Ca
0.0000 0.0000 0.6418 Cu
0.5000 0.5000 0.1418 Cu
```

Computed properties:
Magnetic moment   0.00 μB per atom

=====

<Q>
## SrCaCu (GGA-PBE)

Data for an optimized crystal structure of SrCaCu.

The structure in POSCAR format:
```
SrCaCu
1.0
7.4191 0.0000 0.0000
0.0000 7.4191 0.0000
0.0000 0.0000 7.4191
Sr Ca Cu
4 4 4
direct
0.0000 0.0000 0.0000 Sr
0.0000 0.5000 0.5000 Sr
0.5000 0.0000 0.5000 Sr
0.5000 0.5000 0.0000 Sr
0.0000 0.0000 0.5000 Ca
0.0000 0.5000 0.0000 Ca
0.5000 0.0000 0.0000 Ca
0.5000 0.5000 0.5000 Ca
0.2500 0.2500 0.7500 Cu
0.2500 0.7500 0.2500 Cu
0.7500 0.2500 0.2500 Cu
0.7500 0.7500 0.7500 Cu
```

Computed properties:
Magnetic moment   0.00 μB per atom

=====

<R>
## SrCaCu (GGA-PBE)

Data for an optimized crystal structure of SrCaCu.

The structure in POSCAR format:
```
SrCaCu
1.0
4.2267 0.0000 0.0000
0.0000 4.2727 0.0000
-2.1072 0.0000 11.1868
Sr Ca Cu
2 2 2
direct
0.1835 0.2500 0.3662 Sr
0.8165 0.7500 0.6338 Sr
0.4335 0.2500 0.8675 Ca
0.5665 0.7500 0.1325 Ca
0.0310 0.2500 0.0616 Cu
0.9690 0.7500 0.9384 Cu
```

Computed properties:
Magnetic moment   0.00 μB per atom

=====

Stability, lowest: <Q>

=====

<P>
## SrCaCu4 (GGA-PBE)

Data for an optimized crystal structure of SrCaCu4.

The structure in POSCAR format:
```
SrCaCu4
1.0
0.0000 3.8382 3.8382
3.8382 0.0000 3.8382
3.8382 3.8382 0.0000
Sr Ca Cu
1 1 4
direct
0.0000 0.0000 0.0000 Sr
0.7500 0.7500 0.7500 Ca
0.3770 0.3770 0.3770 Cu
0.3770 0.3770 0.8690 Cu
0.3770 0.8690 0.3770 Cu
0.8690 0.3770 0.3770 Cu
```

Computed properties:
Magnetic moment   0.00 μB per atom

=====

<Q>
## SrCaCu4 (GGA-PBE)

Data for an optimized crystal structure of SrCaCu4.

The structure in POSCAR format:
```
SrCaCu4
1.0
4.2310 0.0000 0.0000
0.0000 7.4001 0.0000
0.0000 0.0000 8.1151
Sr Ca Cu
2 2 8
direct
0.0000 0.0000 0.0000 Sr
0.5000 0.5000 0.5000 Sr
0.0000 0.0000 0.5000 Ca
0.5000 0.5000 0.0000 Ca
0.0000 0.3344 0.2433 Cu
0.0000 0.3344 0.7567 Cu
0.0000 0.6656 0.2433 Cu
0.0000 0.6656 0.7567 Cu
0.5000 0.1656 0.2567 Cu
0.5000 0.1656 0.7433 Cu
0.5000 0.8344 0.2567 Cu
0.5000 0.8344 0.7433 Cu
```

Computed properties:
Magnetic moment   0.00 μB per atom

=====

Stability, lowest: <P>

=====

<P>
## CaTa2Cu (GGA-PBE)

Data for an optimized crystal structure of CaTa2Cu.

The structure in POSCAR format:
```
CaTa2Cu
1.0
3.1786 0.0000 0.0000
0.0000 4.5916 0.0000
0.0000 0.0000 5.3406
Ca Ta Cu
1 2 1
direct
0.0000 0.0000 0.0000 Ca
0.0000 0.5000 0.5000 Ta
0.5000 0.0000 0.5000 Ta
0.5000 0.5000 0.0000 Cu
```

Computed properties:
Magnetic moment   0.00 μB per atom

=====

<Q>
## CaTa2Cu (GGA-PBE)

Data for an optimized crystal structure of CaTa2Cu.

The structure in POSCAR format:
```
CaTa2Cu
1.0
2.9443 0.0000 0.0000
-1.4722 2.5498 0.0000
0.0000 0.0000 30.5734
Ca Ta Cu
3 6 3
direct
0.0000 0.0000 0.0000 Ca
0.3333 0.6667 0.6667 Ca
0.6667 0.3333 0.3333 Ca
0.0000 0.0000 0.2394 Ta
0.0000 0.0000 0.7606 Ta
0.3333 0.6667 0.4273 Ta
0.3333 0.6667 0.9060 Ta
0.6667 0.3333 0.0940 Ta
0.6667 0.3333 0.5727 Ta
0.0000 0.0000 0.5000 Cu
0.3333 0.6667 0.1667 Cu
0.6667 0.3333 0.8333 Cu
```

Computed properties:
Magnetic moment   0.00 μB per atom

=====

<R>
## CaTa2Cu (GGA-PBE)

Data for an optimized crystal structure of CaTa2Cu.

The structure in POSCAR format:
```
CaTa2Cu
1.0
5.4166 0.0000 0.0000
0.0000 10.7066 0.0000
-1.1963 0.0000 2.6880
Ca Ta Cu
2 4 2
direct
0.0000 0.0000 0.0000 Ca
0.5000 0.5000 0.0000 Ca
0.2500 0.2500 0.5000 Ta
0.2500 0.7500 0.5000 Ta
0.7500 0.2500 0.5000 Ta
0.7500 0.7500 0.5000 Ta
0.0000 0.5000 0.0000 Cu
0.5000 0.0000 0.0000 Cu
```

Computed properties:
Magnetic moment   0.00 μB per atom

=====

<S>
## CaTa2Cu (GGA-PBE)

Data for an optimized crystal structure of CaTa2Cu.

The structure in POSCAR format:
```
CaTa2Cu
1.0
9.9472 0.0000 0.0000
0.0000 2.9608 0.0000
-1.3628 0.0000 5.4894
Ca Ta Cu
2 4 2
direct
0.0000 0.0000 0.0000 Ca
0.5000 0.5000 0.0000 Ca
0.0387 0.5000 0.5057 Ta
0.2928 0.5000 0.3963 Ta
0.5387 0.0000 0.5057 Ta
0.7928 0.0000 0.3963 Ta
0.2413 0.0000 0.7998 Cu
0.7413 0.5000 0.7998 Cu
```

Computed properties:
Magnetic moment   0.00 μB per atom

=====

Stability, lowest: <Q>

=====

<P>
## CaTaCu (GGA-PBE)

Data for an optimized crystal structure of CaTaCu.

The structure in POSCAR format:
```
CaTaCu
1.0
6.4475 0.0000 0.0000
0.0000 6.4475 0.0000
0.0000 0.0000 6.4475
Ca Ta Cu
4 4 4
direct
0.0000 0.0000 0.0000 Ca
0.0000 0.5000 0.5000 Ca
0.5000 0.0000 0.5000 Ca
0.5000 0.5000 0.0000 Ca
0.0000 0.0000 0.5000 Ta
0.0000 0.5000 0.0000 Ta
0.5000 0.0000 0.0000 Ta
0.5000 0.5000 0.5000 Ta
0.2500 0.2500 0.7500 Cu
0.2500 0.7500 0.2500 Cu
0.7500 0.2500 0.2500 Cu
0.7500 0.7500 0.7500 Cu
```

Computed properties:
Magnetic moment   0.30 μB per atom

=====

<Q>
## CaTaCu (GGA-PBE)

Data for an optimized crystal structure of CaTaCu.

The structure in POSCAR format:
```
CaTaCu
1.0
6.0362 0.0000 0.0000
0.0000 7.9461 0.0000
0.0000 0.0000 5.1867
Ca Ta Cu
4 4 4
direct
0.2500 0.1252 0.0000 Ca
0.2500 0.3748 0.5000 Ca
0.7500 0.6252 0.5000 Ca
0.7500 0.8748 0.0000 Ca
0.2500 0.7245 0.7899 Ta
0.2500 0.7755 0.2899 Ta
0.7500 0.2245 0.2899 Ta
0.7500 0.2755 0.7899 Ta
0.0000 0.0000 0.5266 Cu
0.0000 0.5000 0.0266 Cu
0.5000 0.0000 0.5266 Cu
0.5000 0.5000 0.0266 Cu
```

Computed properties:
Magnetic moment   0.00 μB per atom

=====

<R>
## CaTaCu (GGA-PBE)

Data for an optimized crystal structure of CaTaCu.

The structure in POSCAR format:
```
CaTaCu
1.0
4.7758 0.0000 0.0000
-2.3879 4.1360 0.0000
0.0000 0.0000 3.0389
Ca Ta Cu
1 1 1
direct
0.0000 0.0000 0.0000 Ca
0.3333 0.6667 0.5283 Ta
0.6667 0.3333 0.4524 Cu
```

Computed properties:
Magnetic moment   0.00 μB per atom

=====

Stability, lowest: <P>

=====

<P>
## CaTaCu (GGA-PBE)

Data for an optimized crystal structure of CaTaCu.

The structure in POSCAR format:
```
CaTaCu
1.0
2.9877 0.0000 0.0000
0.0031 4.8615 0.0000
0.0035 1.8186 8.1164
Ca Ta Cu
2 2 2
direct
0.2489 0.1410 0.2992 Ca
0.7511 0.8590 0.7008 Ca
0.2502 0.7297 0.0603 Ta
0.7498 0.2703 0.9397 Ta
0.2504 0.3932 0.6261 Cu
0.7496 0.6068 0.3739 Cu
```

Computed properties:
Magnetic moment   0.00 μB per atom

=====

<Q>
## CaTaCu (GGA-PBE)

Data for an optimized crystal structure of CaTaCu.

The structure in POSCAR format:
```
CaTaCu
1.0
4.3016 0.0000 0.0000
-2.1508 3.7253 0.0000
0.0000 0.0000 11.6330
Ca Ta Cu
2 2 2
direct
0.0000 0.0000 0.2500 Ca
0.0000 0.0000 0.7500 Ca
0.0000 0.0000 0.0000 Ta
0.0000 0.0000 0.5000 Ta
0.3333 0.6667 0.2500 Cu
0.6667 0.3333 0.7500 Cu
```

Computed properties:
Magnetic moment   0.95 μB per atom

=====

Stability, lowest: <Q>

=====

<P>
## CaTaCu (GGA-PBE)

Data for an optimized crystal structure of CaTaCu.

The structure in POSCAR format:
```
CaTaCu
1.0
3.4475 0.0000 0.0000
0.0000 3.4493 0.0000
-0.0135 0.0000 10.7259
Ca Ta Cu
2 2 2
direct
0.0000 0.0000 0.0000 Ca
0.0002 0.0000 0.3436 Ca
0.0006 0.0000 0.6808 Ta
0.5001 0.5000 0.5620 Ta
0.5000 0.5000 0.1740 Cu
0.5011 0.5000 0.8129 Cu
```

Computed properties:
Magnetic moment   0.00 μB per atom

=====

<Q>
## CaTaCu (GGA-PBE)

Data for an optimized crystal structure of CaTaCu.

The structure in POSCAR format:
```
CaTaCu
1.0
7.6151 0.0000 0.0000
0.0000 2.9953 0.0000
0.0000 0.0000 10.4465
Ca Ta Cu
4 4 4
direct
0.1582 0.2500 0.0995 Ca
0.3418 0.7500 0.5995 Ca
0.6582 0.2500 0.4005 Ca
0.8418 0.7500 0.9005 Ca
0.0650 0.2500 0.3967 Ta
0.4350 0.7500 0.8967 Ta
0.5650 0.2500 0.1033 Ta
0.9350 0.7500 0.6033 Ta
0.1527 0.2500 0.7982 Cu
0.3473 0.7500 0.2982 Cu
0.6527 0.2500 0.7018 Cu
0.8473 0.7500 0.2018 Cu
```

Computed properties:
Magnetic moment   0.00 μB per atom

=====

Stability, lowest: <Q>

=====

<P>
## CaTaCu (GGA-PBE)

Data for an optimized crystal structure of CaTaCu.

The structure in POSCAR format:
```
CaTaCu
1.0
3.0471 0.0000 0.0000
-1.5225 5.9724 0.0000
-0.0136 -2.4739 6.6824
Ca Ta Cu
2 2 2
direct
0.1485 0.2927 0.0875 Ca
0.8515 0.7073 0.9125 Ca
0.1555 0.3104 0.5246 Ta
0.8445 0.6896 0.4754 Ta
0.4650 0.9333 0.2977 Cu
0.5350 0.0667 0.7023 Cu
```

Computed properties:
Magnetic moment   0.00 μB per atom

=====

<Q>
## CaTaCu (GGA-PBE)

Data for an optimized crystal structure of CaTaCu.

The structure in POSCAR format:
```
CaTaCu
1.0
3.1395 0.0000 0.0000
0.0000 3.1395 0.0000
0.0000 0.0000 12.3406
Ca Ta Cu
2 2 2
direct
0.0000 0.0000 0.0000 Ca
0.5000 0.5000 0.5000 Ca
0.0000 0.0000 0.7051 Ta
0.5000 0.5000 0.2051 Ta
0.0000 0.0000 0.3217 Cu
0.5000 0.5000 0.8217 Cu
```

Computed properties:
Magnetic moment   0.00 μB per atom

=====

<R>
## CaTaCu (GGA-PBE)

Data for an optimized crystal structure of CaTaCu.

The structure in POSCAR format:
```
CaTaCu
1.0
3.1122 0.0000 0.0000
-1.5561 2.6952 0.0000
0.0000 0.0000 7.2052
Ca Ta Cu
1 1 1
direct
0.0000 0.0000 0.0000 Ca
0.3333 0.6667 0.6195 Ta
0.6667 0.3333 0.3432 Cu
```

Computed properties:
Magnetic moment   0.00 μB per atom

=====

<S>
## CaTaCu (GGA-PBE)

Data for an optimized crystal structure of CaTaCu.

The structure in POSCAR format:
```
CaTaCu
1.0
17.5080 0.0000 0.0000
0.0000 3.4182 0.0000
-1.1285 0.0000 4.3047
Ca Ta Cu
4 4 4
direct
0.0000 0.0000 0.0000 Ca
0.1510 0.5000 0.6499 Ca
0.5000 0.5000 0.0000 Ca
0.6510 0.0000 0.6499 Ca
0.3254 0.5000 0.3258 Ta
0.3255 0.0000 0.8257 Ta
0.8254 0.0000 0.3258 Ta
0.8255 0.5000 0.8257 Ta
0.2067 0.0000 0.2048 Cu
0.4441 0.0000 0.4444 Cu
0.7067 0.5000 0.2048 Cu
0.9441 0.5000 0.4444 Cu
```

Computed properties:
Magnetic moment   0.00 μB per atom

=====

Stability, lowest: <R>

=====

<P>
## CaTa3Cu (GGA-PBE)

Data for an optimized crystal structure of CaTa3Cu.

The structure in POSCAR format:
```
CaTa3Cu
1.0
4.7974 0.0000 0.0000
0.0000 4.7974 0.0000
0.0000 0.0000 4.7974
Ca Ta Cu
1 3 1
direct
0.0000 0.0000 0.0000 Ca
0.0000 0.5000 0.5000 Ta
0.5000 0.0000 0.5000 Ta
0.5000 0.5000 0.0000 Ta
0.5000 0.5000 0.5000 Cu
```

Computed properties:
Magnetic moment   0.00 μB per atom

=====

<Q>
## CaTa3Cu (GGA-PBE)

Data for an optimized crystal structure of CaTa3Cu.

The structure in POSCAR format:
```
CaTa3Cu
1.0
4.7010 0.0000 0.0000
0.0000 4.7010 0.0000
0.0000 0.0000 4.7010
Ca Ta Cu
1 3 1
direct
0.0000 0.0000 0.0000 Ca
0.0000 0.0000 0.5000 Ta
0.0000 0.5000 0.0000 Ta
0.5000 0.0000 0.0000 Ta
0.5000 0.5000 0.5000 Cu
```

Computed properties:
Magnetic moment   0.00 μB per atom

=====

Stability, lowest: <Q>

=====

<P>
## CaTbCu4 (GGA-PBE)

Data for an optimized crystal structure of CaTbCu4.

The structure in POSCAR format:
```
CaTbCu4
1.0
4.1918 0.0000 0.0000
0.0000 7.3985 0.0000
0.0000 0.0000 7.4030
Ca Tb Cu
2 2 8
direct
0.0000 0.0000 0.0000 Ca
0.5000 0.5000 0.5000 Ca
0.0000 0.5000 0.0000 Tb
0.5000 0.0000 0.5000 Tb
0.0000 0.2394 0.3341 Cu
0.0000 0.2394 0.6659 Cu
0.0000 0.7606 0.3341 Cu
0.0000 0.7606 0.6659 Cu
0.5000 0.2606 0.1659 Cu
0.5000 0.2606 0.8341 Cu
0.5000 0.7394 0.1659 Cu
0.5000 0.7394 0.8341 Cu
```

Computed properties:
Magnetic moment   0.00 μB per atom

=====

<Q>
## CaTbCu4 (GGA-PBE)

Data for an optimized crystal structure of CaTbCu4.

The structure in POSCAR format:
```
CaTbCu4
1.0
0.0000 3.7372 3.7372
3.7372 0.0000 3.7372
3.7372 3.7372 0.0000
Ca Tb Cu
1 1 4
direct
0.0000 0.0000 0.0000 Ca
0.7500 0.7500 0.7500 Tb
0.3744 0.3744 0.3744 Cu
0.3744 0.3744 0.8768 Cu
0.3744 0.8768 0.3744 Cu
0.8768 0.3744 0.3744 Cu
```

Computed properties:
Magnetic moment   0.00 μB per atom

=====

Stability, lowest: <Q>